A geometry-optimized Na4LaTb3S8 structure, computed with PBE-GGA.

Summary:
**DOS(E_F)**: 0.00 states/eV per cell
**Electronic total energy**: -5.412 eV per atom
**E_form (uncorrected)**: -29.48 eV/f.u.

Cell lengths 8.159, 8.159, 8.159 Å; angles 59.73, 59.73, 59.73 degrees
Fractional positions:
Na 0.000 0.000 0.000
Na 0.000 0.500 0.500
Na 0.500 0.000 0.500
Na 0.500 0.500 0.000
La 0.500 0.500 0.500
Tb 0.000 0.000 0.500
Tb 0.000 0.500 0.000
Tb 0.500 0.000 0.000
S 0.234 0.748 0.748
S 0.242 0.242 0.242
S 0.252 0.252 0.766
S 0.252 0.766 0.252
S 0.748 0.234 0.748
S 0.748 0.748 0.234
S 0.758 0.758 0.758
S 0.766 0.252 0.252